1.
Density functional theory data (PBE) for an optimized crystal structure of K2SiAu.

abc: 9.3499 9.3499 9.3499
angles: 93.50 93.50 151.39
Fractional coordinates of all 8 atoms:
1 K 0.3750 0.0936 0.2186
2 K 0.8436 0.6250 0.7186
3 K 0.8750 0.1564 0.7814
4 K 0.9064 0.1250 0.2814
5 Si 0.2500 0.7500 0.5000
6 Si 0.5000 0.5000 0.0000
7 Au 0.0000 0.0000 0.0000
8 Au 0.7500 0.2500 0.5000

Calculated values
- E_form (uncorrected): -0.07 eV per atom
- Final energy: -0.2051 Ry/atom

2.
Density functional theory data (PBE) for an optimized crystal structure of NdEuCd.

abc: 5.4667 5.4667 3.6302
angles: 90.00 90.00 120.00
Fractional coordinates of all 3 atoms:
1 Nd 0.0000 0.0000 0.0000
2 Eu 0.6667 0.3333 0.4103
3 Cd 0.3333 0.6667 0.7139

Calculated values
- Distance to the lowest polymorph of the same formula: 101.7 meV per atom
- Final energy: -0.3969 Ry/atom
- Energy relative to the elements: -23.3 kJ/mol of formula units

3.
Density functional theory data (PBE) for an optimized crystal structure of PmNd6Y2Mg.

abc: 8.6618 8.6618 9.5136
angles: 96.57 96.57 105.38
Fractional coordinates of all 20 atoms:
1 Pm 0.0676 0.9324 0.7500
2 Pm 0.9324 0.0676 0.2500
3 Nd 0.0358 0.4634 0.3294
4 Nd 0.0778 0.7384 0.0771
5 Nd 0.2616 0.9222 0.4229
6 Nd 0.3275 0.5671 0.9042
7 Nd 0.4329 0.6725 0.5958
8 Nd 0.4634 0.0358 0.8294
9 Nd 0.5366 0.9642 0.1706
10 Nd 0.5671 0.3275 0.4042
11 Nd 0.6725 0.4329 0.0958
12 Nd 0.7384 0.0778 0.5771
13 Nd 0.9222 0.2616 0.9229
14 Nd 0.9642 0.5366 0.6706
15 Y 0.2004 0.2666 0.5965
16 Y 0.2666 0.2004 0.0965
17 Y 0.7334 0.7996 0.9035
18 Y 0.7996 0.7334 0.4035
19 Mg 0.4026 0.5974 0.2500
20 Mg 0.5974 0.4026 0.7500

Calculated values
- Final energy: -0.3445 Ry/atom
- Energy relative to the elements: 97.6 kJ/mol of formula units

Q: Which of these has the lowest final energy?
A: NdEuCd

Q: final energy of number 2 (NdEuCd)?
A: -0.3969 Ry/atom

Q: The highest final energy belongs to which entry?
A: K2SiAu